VASP calculation (PBE) on DyHo2Au after structural relaxation.

Lattice parameters (Å, degrees): 10.2070 10.2070 10.2070 20.58 20.58 20.58
Closest atoms and distances in Å follow each position.
Fractional coordinates of all 4 atoms:
Dy 0.0000 0.0000 0.0000  6 Ho 3.57, 6 Dy 3.65
Ho 0.2371 0.2371 0.2371  3 Au 2.98
Ho 0.7629 0.7629 0.7629  3 Au 2.98
Au 0.5000 0.5000 0.5000  6 Ho 2.98

As for the space group: No. 166. The formation energy is -0.279 eV per atom. Its density of states at the Fermi level is 1.2184 states/eV/atom. The value obtained for the raw total energy is -18.15 eV for the cell shown. The calculation puts the offset from the most stable computed form at 172 meV/atom.